The following is a DFT calculation (PBE) of a relaxed structure of PPbAuCl2.

Output
The distance to the lowest polymorph of the same formula is 0.315 eV per atom. As for the magnetization: 1.09 μB per formula unit. As for the density of states at the Fermi level: 0.375 states/eV per atom. As for the crystal system: tetragonal. Its symmetry is No. 123. As for the volume: 31.98 Å³ per atom.

CIF file:
```
data_PPbAuCl2
_cell_length_a 5.346
_cell_length_b 5.346
_cell_length_c 5.595
_cell_angle_alpha 90.00
_cell_angle_beta 90.00
_cell_angle_gamma 90.00
_symmetry_space_group_name_H-M 'P 1'
_symmetry_Int_Tables_number 1
loop_
_symmetry_equiv_pos_as_xyz
'x,y,z'
loop_
_atom_site_label
_atom_site_type_symbol
_atom_site_fract_x
_atom_site_fract_y
_atom_site_fract_z
Cl1 Cl 0.000 0.500 0.000
Au1 Au 0.500 0.500 0.500
Cl2 Cl 0.500 0.000 0.000
P1 P 0.000 0.000 0.500
Pb1 Pb 0.000 0.000 0.000
```